Record 1
SrSnHg2As: optimized geometry, PBE. Values from VASP.

Geometry as Quantum ESPRESSO input:
```
&SYSTEM
  ibrav = 0, nat = 5, ntyp = 4
/
ATOMIC_SPECIES
Sr 87.62 Sr.upf
Sn 118.71 Sn.upf
Hg 200.59 Hg.upf
As 74.92 As.upf
ATOMIC_POSITIONS crystal
Sr 0.000 0.000 0.000
Sn 0.500 0.500 0.500
Hg 0.000 0.500 0.000
Hg 0.500 0.000 0.000
As 0.000 0.000 0.500
CELL_PARAMETERS angstrom
5.900 0.000 0.000
0.000 5.900 0.000
0.000 0.000 5.756
```

Computed properties:
M_tot   0.00 μB/atom
Symmetry   P4/mmm, No. 123
Uncorrected energy   -1.74 eV per atom
Calculated density   5.656 Mg/m³

=====

Record 2
KSi2As2: optimized geometry, PBE. Values from VASP.

Geometry as Quantum ESPRESSO input:
```
&SYSTEM
  ibrav = 0, nat = 5, ntyp = 3
/
ATOMIC_SPECIES
K 39.10 K.upf
Si 28.09 Si.upf
As 74.92 As.upf
ATOMIC_POSITIONS crystal
K 0.000 0.000 0.000
Si 0.354 0.354 0.000
Si 0.646 0.646 0.000
As 0.250 0.750 0.500
As 0.750 0.250 0.500
CELL_PARAMETERS angstrom
-2.446 2.446 4.424
2.446 -2.446 4.424
2.446 2.446 -4.424
```

Computed properties:
M_tot   0.00 μB/atom
Symmetry   I4/mmm, No. 139
Uncorrected energy   -4.24 eV per atom
Calculated density   3.844 Mg/m³
E_form (uncorrected)   0.00 eV per atom

=====

Record 3
NaMoCl2: optimized geometry, PBE. Values from VASP.

Geometry as Quantum ESPRESSO input:
```
&SYSTEM
  ibrav = 0, nat = 4, ntyp = 3
/
ATOMIC_SPECIES
Na 22.99 Na.upf
Mo 95.94 Mo.upf
Cl 35.45 Cl.upf
ATOMIC_POSITIONS crystal
Na 0.000 0.000 0.000
Mo 0.500 0.500 0.500
Cl 0.250 0.250 0.250
Cl 0.750 0.750 0.750
CELL_PARAMETERS angstrom
0.000 3.243 3.243
3.243 0.000 3.243
3.243 3.243 0.000
```

Computed properties:
M_tot   0.25 μB/atom
Energy above the most stable polymorph in this dataset   450 meV per atom
Symmetry   Fm-3m, No. 225
Uncorrected energy   -3.89 eV per atom
Calculated density   4.619 Mg/m³
E_form (uncorrected)   0.07 eV per atom

=====

Record 4
YNbGa2: optimized geometry, PBE. Values from VASP.

Geometry as Quantum ESPRESSO input:
```
&SYSTEM
  ibrav = 0, nat = 8, ntyp = 3
/
ATOMIC_SPECIES
Y 88.91 Y.upf
Nb 92.91 Nb.upf
Ga 69.72 Ga.upf
ATOMIC_POSITIONS crystal
Y 0.000 0.000 0.000
Y 0.750 0.250 0.500
Nb 0.250 0.750 0.500
Nb 0.500 0.500 0.000
Ga 0.227 0.625 0.102
Ga 0.375 0.477 0.602
Ga 0.523 0.125 0.898
Ga 0.875 0.773 0.398
CELL_PARAMETERS angstrom
-2.235 2.235 9.419
2.235 -2.235 9.419
2.235 2.235 -9.419
```

Computed properties:
M_tot   0.00 μB/atom
Energy above the most stable polymorph in this dataset   557 meV per atom
Symmetry   I-42d, No. 122
Uncorrected energy   -5.44 eV per atom
Calculated density   5.670 Mg/m³

=====

Record 5
Pm2Al4Pd3Rh: optimized geometry, PBE. Values from VASP.

Geometry as Quantum ESPRESSO input:
```
&SYSTEM
  ibrav = 0, nat = 10, ntyp = 4
/
ATOMIC_SPECIES
Pm 145.00 Pm.upf
Al 26.98 Al.upf
Pd 106.42 Pd.upf
Rh 102.91 Rh.upf
ATOMIC_POSITIONS crystal
Pm 0.000 0.500 0.246
Pm 0.500 0.000 0.754
Al 0.000 0.000 0.500
Al 0.000 0.500 0.876
Al 0.500 0.000 0.124
Al 0.500 0.500 0.500
Pd 0.000 0.000 0.000
Pd 0.000 0.500 0.632
Pd 0.500 0.000 0.368
Rh 0.500 0.500 0.000
CELL_PARAMETERS angstrom
4.325 0.000 0.000
0.000 4.325 0.000
0.000 0.000 10.142
```

Computed properties:
M_tot   0.00 μB/atom
Symmetry   P-4m2, No. 115
Uncorrected energy   -5.61 eV per atom
Calculated density   7.178 Mg/m³

=====

Record 6
SrHg6Bi3: optimized geometry, PBE. Values from VASP.

Geometry as Quantum ESPRESSO input:
```
&SYSTEM
  ibrav = 0, nat = 20, ntyp = 3
/
ATOMIC_SPECIES
Sr 87.62 Sr.upf
Hg 200.59 Hg.upf
Bi 208.98 Bi.upf
ATOMIC_POSITIONS crystal
Sr 0.000 0.000 0.000
Sr 0.500 0.500 0.500
Hg 0.059 0.256 0.000
Hg 0.172 0.405 0.500
Hg 0.227 0.127 0.500
Hg 0.273 0.627 0.000
Hg 0.328 0.905 0.000
Hg 0.441 0.756 0.500
Hg 0.559 0.244 0.500
Hg 0.672 0.095 0.000
Hg 0.727 0.373 0.000
Hg 0.773 0.873 0.500
Hg 0.828 0.595 0.500
Hg 0.941 0.744 0.000
Bi 0.000 0.500 0.000
Bi 0.127 0.821 0.500
Bi 0.373 0.321 0.000
Bi 0.500 0.000 0.500
Bi 0.627 0.679 0.000
Bi 0.873 0.179 0.500
CELL_PARAMETERS angstrom
9.690 0.000 0.000
0.000 13.793 0.000
0.000 0.000 4.574
```

Computed properties:
M_tot   0.00 μB/atom
Symmetry   Pnnm, No. 58
Uncorrected energy   -1.61 eV per atom
Calculated density   10.421 Mg/m³

=====

Record 7
Fe2SnMoPt: optimized geometry, PBE. Values from VASP.

Geometry as Quantum ESPRESSO input:
```
&SYSTEM
  ibrav = 0, nat = 5, ntyp = 4
/
ATOMIC_SPECIES
Fe 55.84 Fe.upf
Sn 118.71 Sn.upf
Mo 95.94 Mo.upf
Pt 195.08 Pt.upf
ATOMIC_POSITIONS crystal
Fe 0.000 0.500 0.000
Fe 0.500 0.000 0.000
Sn 0.000 0.000 0.500
Mo 0.500 0.500 0.500
Pt 0.500 0.500 0.000
CELL_PARAMETERS angstrom
4.701 0.000 0.000
0.000 4.701 0.000
0.000 0.000 4.905
```

Computed properties:
M_tot   1.57 μB/atom
Symmetry   P4/mmm, No. 123
Uncorrected energy   -6.47 eV per atom
Calculated density   7.988 Mg/m³

=====

Record 8
K2NpCu3F12: optimized geometry, PBE. Values from VASP.

Geometry as Quantum ESPRESSO input:
```
&SYSTEM
  ibrav = 0, nat = 18, ntyp = 4
/
ATOMIC_SPECIES
K 39.10 K.upf
Np 237.00 Np.upf
Cu 63.55 Cu.upf
F 19.00 F.upf
ATOMIC_POSITIONS crystal
K 0.108 0.108 0.108
K 0.892 0.892 0.892
Np 0.500 0.500 0.500
Cu 0.000 0.500 0.500
Cu 0.500 0.000 0.500
Cu 0.500 0.500 0.000
F 0.132 0.619 0.619
F 0.224 0.224 0.632
F 0.224 0.632 0.224
F 0.368 0.776 0.776
F 0.381 0.381 0.868
F 0.381 0.868 0.381
F 0.619 0.132 0.619
F 0.619 0.619 0.132
F 0.632 0.224 0.224
F 0.776 0.368 0.776
F 0.776 0.776 0.368
F 0.868 0.381 0.381
CELL_PARAMETERS angstrom
3.479 2.008 6.908
-3.479 2.008 6.908
0.000 -4.017 6.908
```

Computed properties:
M_tot   0.00 μB/atom
Symmetry   R-3m, No. 166
Uncorrected energy   -5.12 eV per atom
Calculated density   4.208 Mg/m³
E_form (uncorrected)   -2.35 eV per atom